# 1
Tl4SiAu7 | the Alexandria database | GGA-PBE | optimized geometry; mass density = 13.2 g/cm3; SG = C2/m
1.0
-3.144 1.828 -3.256
-5.325 -4.925 -1.281
-6.681 3.125 4.546
Tl Au Si
4 7 1
Direct
0.246 0.234 0.274 Tl
0.421 0.428 0.730 Tl
0.579 0.572 0.270 Tl
0.754 0.766 0.726 Tl
0.500 0.000 0.000 Au
0.171 0.628 0.029 Au
0.829 0.372 0.971 Au
0.669 0.163 0.498 Au
0.085 0.126 0.704 Au
0.915 0.874 0.296 Au
0.331 0.837 0.502 Au
0.000 0.000 0.000 Si

***

# 2
Tl2SiAu2 | the Alexandria database | GGA-PBE | optimized geometry; mass density = 11.3 g/cm3; SG = C2/c
1.0
9.503 0.000 0.000
-4.751 4.958 -0.668
0.000 0.672 5.085
Au Si Tl
4 2 4
Direct
0.694 0.696 0.999 Au
0.002 0.696 0.499 Au
0.998 0.304 0.501 Au
0.306 0.304 0.001 Au
0.000 0.000 0.750 Si
0.000 0.000 0.250 Si
0.758 0.257 0.000 Tl
0.501 0.743 0.500 Tl
0.242 0.743 0.000 Tl
0.499 0.257 0.500 Tl

***

# 3
Tl2SiAu5 | the Alexandria database | GGA-PBE | optimized geometry; mass density = 12.1 g/cm3; SG = Cm
1.0
-2.878 5.070 3.503
-3.167 -5.213 -3.123
3.356 -5.414 2.526
Au Si Tl
5 1 2
Direct
0.000 0.237 0.716 Au
0.527 0.247 0.247 Au
0.985 0.281 0.281 Au
0.461 0.710 0.710 Au
0.000 0.716 0.237 Au
0.990 0.056 0.056 Si
0.519 0.251 0.727 Tl
0.519 0.727 0.251 Tl

***

# 4
TmTl2Si2Au7 | the Alexandria database | GGA-PBE | optimized geometry; mass density = 12.4 g/cm3; SG = C2/m
1.0
-4.469 -0.374 -0.011
0.294 -4.180 1.598
-1.521 3.548 12.893
Au Si Tl Tm
7 2 2 1
Direct
0.576 0.576 0.589 Au
0.424 0.424 0.411 Au
0.045 0.537 0.849 Au
0.463 0.955 0.151 Au
0.537 0.045 0.849 Au
0.955 0.463 0.151 Au
0.500 0.500 0.000 Au
0.568 0.568 0.767 Si
0.432 0.432 0.233 Si
0.919 0.919 0.375 Tl
0.081 0.081 0.625 Tl
0.000 0.000 0.000 Tm

***

Per-record formation energy from raw total energies, eV/atom: 0.031, -0.042, -0.010, -0.227